(1)
VASP calculation (GGA-PBE) on a relaxed structure of LuThSc.

Cell lengths 5.244, 5.244, 5.244 Å; angles 60.00, 60.00, 60.00 degrees
Positions (direct):
Sc 0.000 0.000 0.000
Lu 0.250 0.250 0.250
Th 0.750 0.750 0.750

Computed properties:
Space group = F-43m (216)
Crystal system = cubic
Total energy = -5.35 eV per atom
Energy above the most stable polymorph in this dataset = 0.000 eV/atom


(2)
VASP calculation (GGA-PBE) on a relaxed structure of TmLuSc.

Cell lengths 5.169, 5.169, 5.169 Å; angles 60.00, 60.00, 60.00 degrees
Positions (direct):
Lu 0.250 0.250 0.250
Tm 0.750 0.750 0.750
Sc 0.000 0.000 0.000

Computed properties:
Space group = F-43m (216)
Crystal system = cubic
Total energy = -4.41 eV per atom
Energy above the most stable polymorph in this dataset = 0.000 eV/atom


(3)
VASP calculation (GGA-PBE) on a relaxed structure of LuScW2.

Cell lengths 4.750, 4.750, 4.750 Å; angles 60.00, 60.00, 60.00 degrees
Positions (direct):
Lu 0.500 0.500 0.500
W 0.000 0.000 0.000
W 0.250 0.250 0.250
Sc 0.750 0.750 0.750

Computed properties:
Space group = F-43m (216)
Crystal system = cubic
Total energy = -8.86 eV per atom